Density functional theory data (PBE) for a relaxed structure of ZnCd2InHg6.

Geometry as extended XYZ:
```
10
Lattice="7.339 0.000 0.850 0.000 7.834 0.000 -2.209 -3.917 4.345" Properties=species:S:1:pos:R:3 pbc="T T T"
Cd 4.497 3.917 3.818
Cd 0.633 0.000 1.377
Zn 0.000 3.917 0.000
Hg 2.876 0.000 3.422
Hg -0.317 -1.918 3.509
Hg 2.254 3.917 1.774
Hg -0.317 1.918 3.509
Hg 5.447 1.999 1.687
Hg 5.447 5.835 1.687
In 3.670 0.000 0.425
```

- volume (A^3/atom) = 26.5
- DOS at the Fermi energy (states/eV/f.u.) = 4.069
- M_tot (μB/cell) = 0.00
- energy of formation (meV per atom) = 68